1.
Here is a geometry-optimized Tl5Bi4Pb4 structure from the Alexandria database. Energies are from GGA-PBE.

Cell and atoms, written as CIF:
```
data_Tl5Bi4Pb4
_space_group_name_H-M_alt 'I 4/m'
_space_group_IT_number 87
_space_group_name_Hall '-I 4'
_cell_length_a 12.555
_cell_length_b 12.555
_cell_length_c 5.242
_cell_angle_alpha 90.00
_cell_angle_beta 90.00
_cell_angle_gamma 90.00
loop_
_atom_site_label
_atom_site_type_symbol
_atom_site_fract_x
_atom_site_fract_y
_atom_site_fract_z
Tl1 Tl 0.000 0.000 0.000
Tl2 Tl 0.045 0.810 0.500
Bi1 Bi 0.093 0.620 0.000
Pb1 Pb 0.143 0.238 0.000
```

The calculation puts the total energy at -0.1186 hartree per atom. The crystal system is tetragonal. The formation energy is 18 meV/atom. For the density, the calculation gives 10.8 Mg/m³.

---

2.
Here is a geometry-optimized Tl2BiPb4 structure from the Alexandria database. Energies are from GGA-PBE.

Cell and atoms, written as CIF:
```
data_Tl2BiPb4
_space_group_name_H-M_alt 'I 4/m m m'
_space_group_IT_number 139
_space_group_name_Hall '-I 4 2'
_cell_length_a 6.053
_cell_length_b 6.053
_cell_length_c 15.707
_cell_angle_alpha 90.00
_cell_angle_beta 90.00
_cell_angle_gamma 90.00
loop_
_atom_site_label
_atom_site_type_symbol
_atom_site_fract_x
_atom_site_fract_y
_atom_site_fract_z
Tl1 Tl 0.000 0.000 0.104
Bi1 Bi 0.000 0.000 0.500
Pb1 Pb 0.000 0.000 0.300
Pb2 Pb 0.000 0.500 0.000
```

The calculation puts the total energy at -0.1079 hartree per atom. The crystal system is tetragonal. The formation energy is 414 meV/atom. For the density, the calculation gives 8.3 Mg/m³. The distance to the lowest polymorph of the same formula is 392 meV per atom.

---

3.
Here is a geometry-optimized TlBiPb structure from the Alexandria database. Energies are from GGA-PBE.

Cell and atoms, written as CIF:
```
data_TlBiPb
_space_group_name_H-M_alt 'F -4 3 m'
_space_group_IT_number 216
_space_group_name_Hall 'F -4 2 3'
_cell_length_a 7.702
_cell_length_b 7.702
_cell_length_c 7.702
_cell_angle_alpha 90.00
_cell_angle_beta 90.00
_cell_angle_gamma 90.00
loop_
_atom_site_label
_atom_site_type_symbol
_atom_site_fract_x
_atom_site_fract_y
_atom_site_fract_z
Tl1 Tl 0.000 0.000 0.000
Bi1 Bi 0.250 0.250 0.750
Pb1 Pb 0.000 0.000 0.500
```

The calculation puts the total energy at -0.1220 hartree per atom. The crystal system is cubic. The formation energy is 0 meV/atom. For the density, the calculation gives 9.0 Mg/m³. The distance to the lowest polymorph of the same formula is 31 meV per atom.

---

4.
Here is a geometry-optimized TlBi2Pb8 structure from the Alexandria database. Energies are from GGA-PBE.

Cell and atoms, written as CIF:
```
data_TlBi2Pb8
_space_group_name_H-M_alt 'C 1 2/m 1'
_space_group_IT_number 12
_space_group_name_Hall '-C 2y'
_cell_length_a 15.062
_cell_length_b 8.762
_cell_length_c 5.957
_cell_angle_alpha 90.00
_cell_angle_beta 104.37
_cell_angle_gamma 90.00
loop_
_atom_site_label
_atom_site_type_symbol
_atom_site_fract_x
_atom_site_fract_y
_atom_site_fract_z
Tl1 Tl 0.000 0.000 0.000
Bi1 Bi 0.142 0.000 0.528
Pb1 Pb 0.077 0.296 0.769
Pb2 Pb 0.132 0.500 0.328
Pb3 Pb 0.235 0.000 0.085
```

The calculation puts the total energy at -0.1285 hartree per atom. The crystal system is monoclinic. The formation energy is 120 meV/atom. For the density, the calculation gives 9.9 Mg/m³. The distance to the lowest polymorph of the same formula is 32 meV per atom.

---

Total magnetic moment per entry: 0.00 0.00 0.00 0.00 μB per cell